Entry 1:
# SrCa2Hg2Pb2, relaxed, DFT PBE
# Total magnetic moment, μB per atom: 0.000
# Energy, eV/atom: -2.385
# ΔE_f, kcal/mol of atoms: -9.85
data_SrCa2Hg2Pb2
_chemical_formula_sum 'Sr3 Ca6 Hg6 Pb6'
_cell_length_a 5.1568
_cell_length_b 5.1568
_cell_length_c 28.2804
_cell_angle_alpha 90.00
_cell_angle_beta 90.00
_cell_angle_gamma 120.00
_space_group_name_H-M_alt 'R -3 m'
_space_group_IT_number 166
_space_group_name_Hall '-R 3 2"'
loop_
_atom_site_label
_atom_site_type_symbol
_atom_site_fract_x
_atom_site_fract_y
_atom_site_fract_z
_atom_site_occupancy
Sr1 Sr 0.0000 0.0000 0.0000 1
Ca1 Ca 0.0000 0.0000 0.1362 1
Hg1 Hg 0.0000 0.0000 0.4434 1
Pb1 Pb 0.0000 0.0000 0.2612 1

---

Entry 2:
# NiPb2Br, relaxed, DFT PBE
# Total magnetic moment, μB per atom: 0.000
# Energy, eV/atom: -3.810
# Raw formation energy, kJ per mole of atoms: -8.91
# Energy above the lowest structure with this stoichiometry, eV per atom: 0.000
data_NiPb2Br
_chemical_formula_sum 'Ni2 Pb4 Br2'
_cell_length_a 6.722
_cell_length_b 3.882
_cell_length_c 8.283
_cell_angle_alpha 90.00
_cell_angle_beta 105.63
_cell_angle_gamma 90.00
_space_group_name_H-M_alt 'C 1 2/m 1'
_space_group_IT_number 12
loop_
_space_group_symop_operation_xyz
'x,y,z'
'-x,-y,-z'
'-x,y,-z'
'x,-y,z'
'x+1/2,y+1/2,z'
'-x+1/2,-y+1/2,-z'
'-x+1/2,y+1/2,-z'
'x+1/2,-y+1/2,z'
loop_
_atom_site_label
_atom_site_type_symbol
_atom_site_fract_x
_atom_site_fract_y
_atom_site_fract_z
_atom_site_occupancy
Ni1 Ni 0.000 0.000 0.000 1
Pb1 Pb 0.232 0.500 0.196 1
Br1 Br 0.000 0.500 0.500 1

---

Which formula does entry 1 have? SrCa2Hg2Pb2